A relaxed structure of Rb2SeBr, computed with PBE.

Properties
For the density of states at the Fermi level, the calculation gives 1.3 states/eV/f.u. Its energy relative to the elements, uncorrected is -1.12 eV/atom. As for the distance to the lowest polymorph of the same formula: 0.000 eV/atom. The calculated total energy comes out at -2.8967 eV/atom.

extended XYZ file:
```
4
Lattice="-0.794 1.947 -3.379 0.081 -3.439 -2.001 -8.776 -1.053 1.455" Properties=species:S:1:pos:R:3 pbc="T T T"
Rb -6.685 -0.802 1.108
Rb -2.090 -0.251 0.346
Se -4.744 -1.272 -1.963
Br -0.356 -0.746 -2.690
```